Entry 1:
Density functional theory data (PBE-GGA) for YTaSi2 after structural relaxation.

Calculated values
N(E_F)   0.38 states/eV/atom
V   79.2 Å³ per cell
Energy relative to the lowest polymorph listed for this composition   297 meV/atom
Total DFT energy (no corrections)   -7.530 eV per atom
Raw formation energy   -0.239 eV per atom
Crystal system   tetragonal

Structure (CIF):
```
data_YTaSi2
_chemical_formula_sum 'Y1 Ta1 Si2'
_space_group_name_H-M_alt 'P 4/m m m'
_space_group_IT_number 123
_space_group_name_Hall '-P 4 2'
_cell_length_a 3.842
_cell_length_b 3.842
_cell_length_c 5.364
_cell_angle_alpha 90.00
_cell_angle_beta 90.00
_cell_angle_gamma 90.00
loop_
_atom_site_label
_atom_site_type_symbol
_atom_site_fract_x
_atom_site_fract_y
_atom_site_fract_z
Y1 Y 0.000 0.000 0.000
Ta1 Ta 0.500 0.500 0.500
Si1 Si 0.000 0.000 0.500
Si2 Si 0.500 0.500 0.000
```

---

Entry 2:
Density functional theory data (PBE-GGA) for YTaSi2 after structural relaxation.

Calculated values
N(E_F)   0.47 states/eV/atom
V   155.0 Å³ per cell
Energy relative to the lowest polymorph listed for this composition   111 meV/atom
Total DFT energy (no corrections)   -7.715 eV per atom
Raw formation energy   -0.425 eV per atom
Crystal system   monoclinic

Structure (CIF):
```
data_YTaSi2
_chemical_formula_sum 'Y2 Ta2 Si4'
_space_group_name_H-M_alt 'C 1 2/m 1'
_space_group_IT_number 12
_cell_length_a 8.423
_cell_length_b 3.690
_cell_length_c 5.342
_cell_angle_alpha 90.00
_cell_angle_beta 110.95
_cell_angle_gamma 90.00
loop_
_space_group_symop_operation_xyz
'x,y,z'
'-x,-y,-z'
'-x,y,-z'
'x,-y,z'
'x+1/2,y+1/2,z'
'-x+1/2,-y+1/2,-z'
'-x+1/2,y+1/2,-z'
'x+1/2,-y+1/2,z'
loop_
_atom_site_label
_atom_site_type_symbol
_atom_site_fract_x
_atom_site_fract_y
_atom_site_fract_z
Y1 Y 0.000 0.000 0.000
Ta1 Ta 0.000 0.500 0.500
Si1 Si 0.234 0.000 0.655
```

---

> Among the records above, which one has the highest V?

number 2

---

> Which value of N(E_F) does entry 1 give?

0.38 states/eV/atom